(1)
AsOsOF2: relaxed, GGA-PBE.

Cell: 4.414 4.414 3.905 Å, 90.00 90.00 90.00°
Element x y z (fractional)
As 0.000 0.000 0.000
Os 0.500 0.500 0.500
O 0.000 0.000 0.500
F 0.000 0.500 0.000
F 0.500 0.000 0.000

Output
**Distance to the lowest polymorph of the same formula**: 493 meV/atom
**Space-group type**: P4/mmm (123)
**Total energy**: -4.657 eV/atom
**Uncorrected formation energy**: 0.26 eV/atom

***

(2)
Nd3N: relaxed, GGA-PBE.

Cell: 3.363 10.273 6.190 Å, 90.00 90.00 90.00°
Element x y z (fractional)
Nd 0.000 0.000 0.000
Nd 0.000 0.160 0.473
Nd 0.000 0.840 0.473
Nd 0.500 0.340 0.973
Nd 0.500 0.500 0.500
Nd 0.500 0.660 0.973
N 0.000 0.500 0.785
N 0.500 0.000 0.285

Output
**Distance to the lowest polymorph of the same formula**: 256 meV/atom
**Space-group type**: Imm2 (44)
**Total energy**: -6.015 eV/atom
**Uncorrected formation energy**: -0.36 eV/atom

***

(3)
CrFeSeN2: relaxed, GGA-PBE.

Cell: 3.638 3.638 5.254 Å, 90.00 90.00 90.00°
Element x y z (fractional)
Cr 0.000 0.000 0.000
Fe 0.500 0.500 0.500
Se 0.000 0.000 0.500
N 0.000 0.500 0.000
N 0.500 0.000 0.000

Output
**Distance to the lowest polymorph of the same formula**: 0 meV/atom
**Space-group type**: P4/mmm (123)
**Total energy**: -7.048 eV/atom
**Uncorrected formation energy**: 0.60 eV/atom

***

(4)
Ca2EuIn: relaxed, GGA-PBE.

Cell: 8.081 8.081 8.081 Å, 90.00 90.00 90.00°
Element x y z (fractional)
Ca 0.250 0.250 0.250
Ca 0.250 0.250 0.750
Ca 0.250 0.750 0.250
Ca 0.250 0.750 0.750
Ca 0.750 0.250 0.250
Ca 0.750 0.250 0.750
Ca 0.750 0.750 0.250
Ca 0.750 0.750 0.750
Eu 0.000 0.000 0.000
Eu 0.000 0.500 0.500
Eu 0.500 0.000 0.500
Eu 0.500 0.500 0.000
In 0.000 0.000 0.500
In 0.000 0.500 0.000
In 0.500 0.000 0.000
In 0.500 0.500 0.500

Output
**Distance to the lowest polymorph of the same formula**: 19 meV/atom
**Space-group type**: Fm-3m (225)
**Total energy**: -4.449 eV/atom

***

- What is the distance to the lowest polymorph of the same formula in the third record?
  0 meV/atom

***

- Number 3 is which compound?
  CrFeSeN2